BeIn2Te4: relaxed, GGA-PBE.

Cell lengths 6.6021, 6.6021, 6.0912 Å; angles 90.00, 90.00, 90.00 degrees
Fractional coordinates of all 7 atoms:
Be 0.0000 0.0000 0.0000
In 0.0000 0.5000 0.0000
In 0.5000 0.0000 0.0000
Te 0.2129 0.2129 0.2606
Te 0.2129 0.7871 0.7394
Te 0.7871 0.2129 0.7394
Te 0.7871 0.7871 0.2606

The calculation puts the uncorrected formation energy at -0.24 eV/atom.

Be2InTe: relaxed, GGA-PBE.

Cell lengths 11.3260, 3.7475, 4.1386 Å; angles 90.00, 99.56, 90.00 degrees
Fractional coordinates of all 8 atoms:
Be 0.0000 0.0000 0.0000
Be 0.0922 0.5000 0.0179
Be 0.5000 0.5000 0.0000
Be 0.5922 0.0000 0.0179
In 0.4573 0.0000 0.4574
In 0.9573 0.5000 0.4574
Te 0.2220 0.0000 0.9786
Te 0.7220 0.5000 0.9786

The value obtained for the excess energy over the best structure of this formula in the dataset is 0.01 eV/f.u. The calculation puts the uncorrected formation energy at 0.31 eV/atom.